(1)
LaRuPb: optimized geometry, GGA-PBE.

The calculation puts the formation energy at -0.160 eV per atom. For the density, the calculation gives 9.33 Mg/m³.

a b c (Å): 4.829 4.829 4.829
angles (deg): 60.00 60.00 60.00
Positions (direct):
1 La 0.000 0.000 0.000
2 Pb 0.500 0.500 0.500
3 Ru 0.750 0.750 0.750

=====

(2)
LiAl2Te: optimized geometry, GGA-PBE.

The energy relative to the elements, uncorrected is -0.096 eV/atom. For the density, the calculation gives 3.76 Mg/m³.

a b c (Å): 3.781 3.781 5.821
angles (deg): 90.00 90.00 90.00
Positions (direct):
1 Al 0.500 0.500 0.221
2 Al 0.000 0.000 0.041
3 Te 0.500 0.500 0.713
4 Li 0.000 0.000 0.526

=====

(3)
Mo2Se: optimized geometry, GGA-PBE.

For the energy above the most stable polymorph in this dataset, the calculation gives 0.0 kJ/mol of formula units. The energy relative to the elements, uncorrected is -0.093 eV/atom. For the density, the calculation gives 7.33 Mg/m³.

a b c (Å): 9.030 9.030 4.209
angles (deg): 90.00 90.00 159.04
Positions (direct):
1 Mo 0.430 0.570 0.250
2 Mo 0.570 0.430 0.750
3 Mo 0.943 0.057 0.750
4 Mo 0.057 0.943 0.250
5 Se 0.669 0.331 0.250
6 Se 0.331 0.669 0.750